<1>
12
Lattice="5.764 0.000 0.000 0.000 3.079 0.000 0.000 0.000 8.446" Properties=species:S:1:pos:R:3 comment="AsHOs | the Alexandria database | PBE-GGA | optimized geometry" magmom_total_mub_per_cell=0.00 dos_ef_per_ev_atom=0.04 pbc="T T T"
As 1.241 0.770 0.276
As 1.641 2.309 4.499
As 4.123 0.770 3.948
As 4.523 2.309 8.171
H 0.118 0.770 6.243
H 2.764 2.309 2.020
H 3.001 0.770 6.427
H 5.646 2.309 2.203
Os 0.855 2.309 6.801
Os 2.027 0.770 2.578
Os 3.737 2.309 5.869
Os 4.909 0.770 1.645

<2>
3
Lattice="-1.543 1.564 3.859 1.543 -1.564 3.859 1.543 1.564 -3.859" Properties=species:S:1:pos:R:3 comment="AsHOs | the Alexandria database | PBE-GGA | optimized geometry" magmom_total_mub_per_cell=0.00 dos_ef_per_ev_atom=0.24 pbc="T T T"
As 0.000 0.000 0.000
H 0.000 0.000 2.732
Os 0.000 1.564 1.943

<1> is the most stable structure; the next one sits 7 meV/atom above it.